Record 1
A relaxed structure of KRbAu. Source: the Open Quantum Materials Database, functional PBE-GGA.

CIF file:
```
data_KRbAu
_chemical_formula_sum 'K4 Rb4 Au4'
_cell_length_a 8.227
_cell_length_b 8.227
_cell_length_c 8.227
_cell_angle_alpha 90.00
_cell_angle_beta 90.00
_cell_angle_gamma 90.00
_symmetry_space_group_name_H-M 'F -4 3 m'
_symmetry_Int_Tables_number 216
_symmetry_space_group_name_Hall 'F -4 2 3'
loop_
_atom_site_label
_atom_site_fract_x
_atom_site_fract_y
_atom_site_fract_z
K1 0.000 0.000 0.000
Rb1 0.000 0.000 0.500
Au1 0.250 0.250 0.250
```

relative energy among the computed polymorphs	0	meV/atom
theoretical density	3.84	g/cm³
calculated volume	557	Å³/cell

---

Record 2
A relaxed structure of K2RbAu2. Source: the Open Quantum Materials Database, functional PBE-GGA.

CIF file:
```
data_K2RbAu2
_chemical_formula_sum 'K4 Rb2 Au4'
_cell_length_a 5.256
_cell_length_b 5.256
_cell_length_c 14.303
_cell_angle_alpha 90.00
_cell_angle_beta 90.00
_cell_angle_gamma 90.00
_symmetry_space_group_name_H-M 'I 4/m m m'
_symmetry_Int_Tables_number 139
_symmetry_space_group_name_Hall '-I 4 2'
loop_
_atom_site_label
_atom_site_fract_x
_atom_site_fract_y
_atom_site_fract_z
K1 0.000 0.500 0.250
Rb1 0.000 0.000 0.000
Au1 0.000 0.000 0.402
```

relative energy among the computed polymorphs	14	meV/atom
theoretical density	4.69	g/cm³
calculated volume	395	Å³/cell

---

Record 3
A relaxed structure of KRb3Au. Source: the Open Quantum Materials Database, functional PBE-GGA.

CIF file:
```
data_KRb3Au
_chemical_formula_sum 'K2 Rb6 Au2'
_cell_length_a 6.963
_cell_length_b 8.525
_cell_length_c 13.007
_cell_angle_alpha 89.15
_cell_angle_beta 74.50
_cell_angle_gamma 65.90
_symmetry_space_group_name_H-M 'P 1'
_symmetry_Int_Tables_number 1
_symmetry_space_group_name_Hall 'P 1'
loop_
_atom_site_label
_atom_site_fract_x
_atom_site_fract_y
_atom_site_fract_z
K1 0.000 0.000 0.000
K2 0.272 0.224 0.235
Rb1 0.139 0.114 0.609
Rb2 0.387 0.360 0.866
Rb3 0.518 0.486 0.480
Rb4 0.632 0.619 0.119
Rb5 0.752 0.751 0.744
Rb6 0.879 0.874 0.370
Au1 0.386 0.871 0.360
Au2 0.629 0.123 0.619
```

raw total energy	-7.836	eV/f.u.
theoretical density	2.42	g/cm³
calculated volume	675	Å³/cell

---

Record 4
A relaxed structure of K2RbAu2. Source: the Open Quantum Materials Database, functional PBE-GGA.

CIF file:
```
data_K2RbAu2
_chemical_formula_sum 'K4 Rb2 Au4'
_cell_length_a 9.504
_cell_length_b 9.504
_cell_length_c 4.245
_cell_angle_alpha 90.00
_cell_angle_beta 90.00
_cell_angle_gamma 90.00
_symmetry_space_group_name_H-M 'P 4/m b m'
_symmetry_Int_Tables_number 127
_symmetry_space_group_name_Hall '-P 4 2ab'
loop_
_atom_site_label
_atom_site_fract_x
_atom_site_fract_y
_atom_site_fract_z
K1 0.138 0.362 0.000
Rb1 0.000 0.000 0.500
Au1 0.156 0.656 0.500
```

relative energy among the computed polymorphs	0	meV/atom
theoretical density	4.83	g/cm³
calculated volume	383	Å³/cell

---

Record 5
A relaxed structure of K2RbAu7. Source: the Open Quantum Materials Database, functional PBE-GGA.

CIF file:
```
data_K2RbAu7
_chemical_formula_sum 'K4 Rb2 Au14'
_cell_length_a 5.627
_cell_length_b 13.627
_cell_length_c 7.388
_cell_angle_alpha 90.00
_cell_angle_beta 90.00
_cell_angle_gamma 90.00
_symmetry_space_group_name_H-M 'C m m m'
_symmetry_Int_Tables_number 65
_symmetry_space_group_name_Hall '-C 2 2'
loop_
_atom_site_label
_atom_site_fract_x
_atom_site_fract_y
_atom_site_fract_z
K1 0.000 0.161 0.000
Rb1 0.000 0.000 0.500
Au1 0.000 0.391 0.302
Au2 0.000 0.500 0.000
Au3 0.250 0.250 0.500
```

raw total energy	-28.878	eV/f.u.
theoretical density	9.04	g/cm³
calculated volume	566	Å³/cell

---

Record 6
A relaxed structure of KRbAu3. Source: the Open Quantum Materials Database, functional PBE-GGA.

CIF file:
```
data_KRbAu3
_chemical_formula_sum 'K2 Rb2 Au6'
_cell_length_a 5.033
_cell_length_b 5.586
_cell_length_c 10.505
_cell_angle_alpha 90.00
_cell_angle_beta 90.00
_cell_angle_gamma 90.00
_symmetry_space_group_name_H-M 'I m m 2'
_symmetry_Int_Tables_number 44
_symmetry_space_group_name_Hall 'I 2 -2'
loop_
_atom_site_label
_atom_site_fract_x
_atom_site_fract_y
_atom_site_fract_z
K1 0.000 0.000 0.000
Rb1 0.000 0.000 0.389
Au1 0.000 0.253 0.692
Au2 0.000 0.500 0.190
```

raw total energy	-13.493	eV/f.u.
theoretical density	8.05	g/cm³
calculated volume	295	Å³/cell

---

Record 7
A relaxed structure of KRbAu2S2. Source: the Open Quantum Materials Database, functional PBE-GGA.

CIF file:
```
data_KRbAu2S2
_chemical_formula_sum 'K2 Rb2 Au4 S4'
_cell_length_a 6.927
_cell_length_b 6.528
_cell_length_c 8.126
_cell_angle_alpha 90.00
_cell_angle_beta 90.00
_cell_angle_gamma 90.00
_symmetry_space_group_name_H-M 'A m m 2'
_symmetry_Int_Tables_number 38
_symmetry_space_group_name_Hall 'A 2 -2'
loop_
_atom_site_label
_atom_site_fract_x
_atom_site_fract_y
_atom_site_fract_z
K1 0.000 0.000 0.000
Rb1 0.500 0.000 0.255
Au1 0.249 0.000 0.630
S1 0.000 0.000 0.436
S2 0.500 0.000 0.822
```

raw total energy	-21.431	eV/f.u.
theoretical density	5.27	g/cm³
calculated volume	367	Å³/cell

---

Record 8
A relaxed structure of KRbSb2Au4. Source: the Open Quantum Materials Database, functional PBE-GGA.

CIF file:
```
data_KRbSb2Au4
_chemical_formula_sum 'K2 Rb2 Sb4 Au8'
_cell_length_a 5.891
_cell_length_b 5.891
_cell_length_c 17.430
_cell_angle_alpha 90.00
_cell_angle_beta 90.00
_cell_angle_gamma 90.00
_symmetry_space_group_name_H-M 'I -4'
_symmetry_Int_Tables_number 82
_symmetry_space_group_name_Hall 'I -4'
loop_
_atom_site_label
_atom_site_fract_x
_atom_site_fract_y
_atom_site_fract_z
K1 0.000 0.000 0.000
Rb1 0.000 0.500 0.750
Sb1 0.000 0.000 0.500
Sb2 0.000 0.500 0.250
Au1 0.028 0.749 0.376
```

raw total energy	-25.713	eV/f.u.
theoretical density	6.35	g/cm³
calculated volume	605	Å³/cell

---

Record 9
A relaxed structure of K3RbSb2Au2. Source: the Open Quantum Materials Database, functional PBE-GGA.

CIF file:
```
data_K3RbSb2Au2
_chemical_formula_sum 'K3 Rb1 Sb2 Au2'
_cell_length_a 6.632
_cell_length_b 6.739
_cell_length_c 6.729
_cell_angle_alpha 90.00
_cell_angle_beta 106.66
_cell_angle_gamma 90.00
_symmetry_space_group_name_H-M 'P 1 m 1'
_symmetry_Int_Tables_number 6
_symmetry_space_group_name_Hall 'P -2y'
loop_
_atom_site_label
_atom_site_fract_x
_atom_site_fract_y
_atom_site_fract_z
K1 0.000 0.000 0.000
K2 0.327 0.500 0.010
K3 0.657 0.000 0.340
Rb1 0.671 0.500 0.669
Sb1 0.424 0.000 0.770
Sb2 0.905 0.500 0.237
Au1 0.160 0.249 0.505
```

raw total energy	-23.160	eV/f.u.
theoretical density	4.84	g/cm³
calculated volume	288	Å³/cell

---

Record 10
A relaxed structure of K2Rb2Sn2Au7. Source: the Open Quantum Materials Database, functional PBE-GGA.

CIF file:
```
data_K2Rb2Sn2Au7
_chemical_formula_sum 'K6 Rb6 Sn6 Au21'
_cell_length_a 6.9552
_cell_length_b 6.9552
_cell_length_c 29.3524
_cell_angle_alpha 90.00
_cell_angle_beta 90.00
_cell_angle_gamma 120.00
_symmetry_space_group_name_H-M 'R -3 m'
_symmetry_Int_Tables_number 166
_symmetry_space_group_name_Hall '-R 3 2"'
loop_
_atom_site_label
_atom_site_fract_x
_atom_site_fract_y
_atom_site_fract_z
K1 0.0000 0.0000 0.1862
Rb1 0.0000 0.0000 0.3156
Sn1 0.0000 0.0000 0.4502
Au1 0.0000 0.0000 0.0000
Au2 0.0641 0.5320 0.7453
```

relative energy among the computed polymorphs	2	meV/atom
theoretical density	7.56	g/cm³
calculated volume	1230	Å³/cell

---

Record 11
A relaxed structure of K2Rb2Sn2Au7. Source: the Open Quantum Materials Database, functional PBE-GGA.

CIF file:
```
data_K2Rb2Sn2Au7
_chemical_formula_sum 'K6 Rb6 Sn6 Au21'
_cell_length_a 6.9143
_cell_length_b 6.9143
_cell_length_c 29.6311
_cell_angle_alpha 90.00
_cell_angle_beta 90.00
_cell_angle_gamma 120.00
_symmetry_space_group_name_H-M 'R -3 m'
_symmetry_Int_Tables_number 166
_symmetry_space_group_name_Hall '-R 3 2"'
loop_
_atom_site_label
_atom_site_fract_x
_atom_site_fract_y
_atom_site_fract_z
K1 0.0000 0.0000 0.1829
Rb1 0.0000 0.0000 0.3123
Sn1 0.0000 0.0000 0.0499
Au1 0.0000 0.0000 0.5000
Au2 0.0602 0.5301 0.2429
```

relative energy among the computed polymorphs	0	meV/atom
theoretical density	7.57	g/cm³
calculated volume	1227	Å³/cell

---

Record 12
A relaxed structure of KRbTlAu3. Source: the Open Quantum Materials Database, functional PBE-GGA.

CIF file:
```
data_KRbTlAu3
_chemical_formula_sum 'K2 Rb2 Tl2 Au6'
_cell_length_a 5.759
_cell_length_b 6.917
_cell_length_c 9.184
_cell_angle_alpha 90.00
_cell_angle_beta 90.00
_cell_angle_gamma 90.00
_symmetry_space_group_name_H-M 'P m m a'
_symmetry_Int_Tables_number 51
_symmetry_space_group_name_Hall '-P 2a 2a'
loop_
_atom_site_label
_atom_site_fract_x
_atom_site_fract_y
_atom_site_fract_z
K1 0.250 0.000 0.138
Rb1 0.250 0.500 0.368
Tl1 0.250 0.500 0.930
Au1 0.000 0.000 0.500
Au2 0.250 0.207 0.719
```

raw total energy	-15.961	eV/f.u.
theoretical density	8.35	g/cm³
calculated volume	366	Å³/cell

---

What is the calculated volume in the ninth record? 288 Å³/cell